## YLuCuSn (PBE)

Data for a relaxed YLuCuSn crystal.

a = 5.1137 Å, b = 5.1137 Å, c = 5.1137 Å
α = 60.00°, β = 60.00°, γ = 60.00°
With the nearest neighbours (Å) after each atom.
Element x y z (fractional)
1 Y 0.0000 0.0000 0.0000  4 Lu 3.13, 4 Sn 3.13
2 Lu 0.7500 0.7500 0.7500  4 Cu 3.13, 4 Y 3.13
3 Cu 0.5000 0.5000 0.5000  4 Sn 3.13, 4 Lu 3.13
4 Sn 0.2500 0.2500 0.2500  4 Cu 3.13, 4 Y 3.13

Calculated volume: 23.6 Å³/atom
Space-group type: F-43m (216)
Final energy: -4.621 eV/atom